Entry 1:
# SrCo2Bi (PBE-GGA, relaxed)
# V ... 421.32 Å³/cell
# Theoretical density ... 6.534 g/cm3
# DFT formation energy ... 0.30 eV/atom
data_SrCo2Bi
_cell_length_a 4.855
_cell_length_b 4.855
_cell_length_c 17.874
_cell_angle_alpha 90.00
_cell_angle_beta 90.00
_cell_angle_gamma 90.00
_symmetry_space_group_name_H-M 'I 41/a m d'
_symmetry_Int_Tables_number 141
loop_
_symmetry_equiv_pos_as_xyz
'x,y,z'
'-x,-y,-z'
'-y+1/4,x+3/4,z+1/4'
'y+1/4,-x+3/4,-z+1/4'
'-x+1/2,-y,z+1/2'
'x+1/2,y,-z+1/2'
'y+1/4,-x+1/4,z+3/4'
'-y+1/4,x+1/4,-z+3/4'
'x,-y,-z'
'-x,y,z'
'-y+1/4,-x+1/4,-z+3/4'
'y+1/4,x+1/4,z+3/4'
'-x+1/2,y,-z+1/2'
'x+1/2,-y,z+1/2'
'y+1/4,x+3/4,-z+1/4'
'-y+1/4,-x+3/4,z+1/4'
'x+1/2,y+1/2,z+1/2'
'-x+1/2,-y+1/2,-z+1/2'
'-y+3/4,x+1/4,z+3/4'
'y+3/4,-x+1/4,-z+3/4'
'-x,-y+1/2,z'
'x,y+1/2,-z'
'y+3/4,-x+3/4,z+1/4'
'-y+3/4,x+3/4,-z+1/4'
'x+1/2,-y+1/2,-z+1/2'
'-x+1/2,y+1/2,z+1/2'
'-y+3/4,-x+3/4,-z+1/4'
'y+3/4,x+3/4,z+1/4'
'-x,y+1/2,-z'
'x,-y+1/2,z'
'y+3/4,x+1/4,-z+3/4'
'-y+3/4,-x+1/4,z+3/4'
loop_
_atom_site_label
_atom_site_type_symbol
_atom_site_fract_x
_atom_site_fract_y
_atom_site_fract_z
Sr1 Sr 0.000 0.250 0.375
Co1 Co 0.000 0.000 0.000
Bi1 Bi 0.000 0.250 0.875


Entry 2:
# PrSmZnNi (PBE-GGA, relaxed)
# V ... 190.95 Å³/cell
# Theoretical density ... 7.224 g/cm3
# DFT formation energy ... -0.28 eV/atom
data_PrSmZnNi
_cell_length_a 4.480
_cell_length_b 3.926
_cell_length_c 10.858
_cell_angle_alpha 90.00
_cell_angle_beta 90.00
_cell_angle_gamma 90.00
_symmetry_space_group_name_H-M 'A m m 2'
_symmetry_Int_Tables_number 38
loop_
_symmetry_equiv_pos_as_xyz
'x,y,z'
'-x,-y,z'
'-x,y,z'
'x,-y,z'
'x,y+1/2,z+1/2'
'-x,-y+1/2,z+1/2'
'-x,y+1/2,z+1/2'
'x,-y+1/2,z+1/2'
loop_
_atom_site_label
_atom_site_type_symbol
_atom_site_fract_x
_atom_site_fract_y
_atom_site_fract_z
Pr1 Pr 0.000 0.000 0.000
Sm1 Sm 0.500 0.000 0.281
Zn1 Zn 0.500 0.000 0.575
Ni1 Ni 0.000 0.000 0.702